# 1
! SrRuBr meta-GGA SCAN single point on PBEsol structure; values from VASP
&SYSTEM
  ibrav = 0, nat = 3, ntyp = 3
/
ATOMIC_SPECIES
Ru 101.07 Ru.upf
Br 79.90 Br.upf
Sr 87.62 Sr.upf
ATOMIC_POSITIONS crystal
Ru 0.500 0.500 0.500
Br 0.000 0.000 0.000
Sr 0.250 0.250 0.250
CELL_PARAMETERS angstrom
5.078 0.000 0.000
2.539 4.398 0.000
2.539 1.466 4.146
! **E_tot**: -25.151 eV/atom
! **Formation energy from raw total energies**: 0.369 eV/atom
! **Space group**: F-43m
! **E above lowest polymorph**: 0 meV/atom

# 2
! Li2Tl2Pb meta-GGA SCAN single point on PBEsol structure; values from VASP
&SYSTEM
  ibrav = 0, nat = 10, ntyp = 3
/
ATOMIC_SPECIES
Pb 207.20 Pb.upf
Tl 204.38 Tl.upf
Li 6.94 Li.upf
ATOMIC_POSITIONS crystal
Pb 0.000 0.000 0.000
Pb 0.000 0.500 0.500
Tl 0.000 0.368 0.868
Tl 0.000 0.868 0.632
Tl 0.000 0.632 0.132
Tl 0.000 0.132 0.368
Li 0.500 0.169 0.669
Li 0.500 0.669 0.831
Li 0.500 0.831 0.331
Li 0.500 0.331 0.169
CELL_PARAMETERS angstrom
-2.806 0.841 1.620
-3.880 -6.513 -3.342
2.312 -4.679 6.435
! **E_tot**: -45.273 eV/atom
! **Calculated formation energy**: -218 meV per atom
! **Space group**: P4/mbm

# 3
! SnB3Pb meta-GGA SCAN single point on PBEsol structure; values from VASP
&SYSTEM
  ibrav = 0, nat = 5, ntyp = 3
/
ATOMIC_SPECIES
Pb 207.20 Pb.upf
B 10.81 B.upf
Sn 118.71 Sn.upf
ATOMIC_POSITIONS crystal
Pb 0.500 0.500 0.500
B 0.000 0.500 0.000
B 0.000 0.000 0.500
B 0.500 0.000 0.000
Sn 0.000 0.000 0.000
CELL_PARAMETERS angstrom
-1.597 4.154 -0.730
-2.277 -1.506 -3.589
-3.550 -0.902 2.631
! **E_tot**: -24.725 eV/atom
! **Calculated formation energy**: 2073 meV per atom
! **Space group**: Pm-3m